DFT (PBE) results for crystalline Ga2Ni5 at its relaxed geometry.

Cell and atoms, written as POSCAR:
```
Ga2Ni5
1.0
1.745 -13.941 0.000
1.745 13.941 0.000
0.000 0.000 3.519
Ga Ni
4 10
Direct
0.093 0.907 0.750 Ga
0.311 0.689 0.750 Ga
0.689 0.311 0.250 Ga
0.907 0.093 0.250 Ga
0.032 0.968 0.250 Ni
0.178 0.822 0.750 Ni
0.250 0.750 0.250 Ni
0.397 0.603 0.750 Ni
0.469 0.531 0.250 Ni
0.531 0.469 0.750 Ni
0.603 0.397 0.250 Ni
0.750 0.250 0.750 Ni
0.822 0.178 0.250 Ni
0.968 0.032 0.750 Ni
```

Summary:
* space-group type: Cmcm, No. 63
* energy above the most stable polymorph in this dataset: 0.0745 eV per atom
* spin magnetization: 0.00 Bohr magnetons per cell


DFT (PBE) results for crystalline NpGa3Ni2 at its relaxed geometry.

Cell and atoms, written as POSCAR:
```
NpGa3Ni2
1.0
7.905 -2.027 0.000
7.905 2.027 0.000
-3.197 0.000 9.163
Np Ga Ni
3 9 6
Direct
0.000 0.000 0.000 Np
0.160 0.160 0.707 Np
0.840 0.840 0.293 Np
0.043 0.043 0.354 Ga
0.217 0.217 0.387 Ga
0.331 0.331 0.044 Ga
0.370 0.370 0.804 Ga
0.500 0.500 0.500 Ga
0.630 0.630 0.196 Ga
0.669 0.669 0.956 Ga
0.783 0.783 0.613 Ga
0.957 0.957 0.646 Ga
0.196 0.196 0.119 Ni
0.363 0.363 0.554 Ni
0.481 0.481 0.224 Ni
0.519 0.519 0.776 Ni
0.637 0.637 0.446 Ni
0.804 0.804 0.881 Ni
```

Summary:
* space-group type: C2/m, No. 12
* spin magnetization: 11.86 Bohr magnetons per cell


DFT (PBE) results for crystalline NpGaNi6 at its relaxed geometry.

Cell and atoms, written as POSCAR:
```
NpGaNi6
1.0
5.222 0.000 0.000
-2.611 4.523 0.000
0.000 0.000 4.284
Np Ga Ni
1 1 6
Direct
0.000 0.000 0.000 Np
0.333 0.667 0.500 Ga
0.350 0.175 0.500 Ni
0.502 0.003 0.000 Ni
0.502 0.498 0.000 Ni
0.825 0.175 0.500 Ni
0.825 0.650 0.500 Ni
0.997 0.498 0.000 Ni
```

Summary:
* space-group type: P-6m2, No. 187
* spin magnetization: 1.92 Bohr magnetons per cell


DFT (PBE) results for crystalline NpGa4Ni2 at its relaxed geometry.

Cell and atoms, written as POSCAR:
```
NpGa4Ni2
1.0
16.699 0.000 0.000
0.000 4.180 0.000
0.000 0.000 6.433
Np Ga Ni
4 16 8
Direct
0.135 0.250 0.019 Np
0.365 0.750 0.519 Np
0.635 0.250 0.481 Np
0.865 0.750 0.981 Np
0.035 0.750 0.825 Ga
0.073 0.250 0.502 Ga
0.186 0.750 0.327 Ga
0.195 0.750 0.730 Ga
0.305 0.250 0.230 Ga
0.314 0.250 0.827 Ga
0.427 0.750 0.002 Ga
0.465 0.250 0.325 Ga
0.535 0.750 0.675 Ga
0.573 0.250 0.998 Ga
0.686 0.750 0.173 Ga
0.695 0.750 0.770 Ga
0.805 0.250 0.270 Ga
0.814 0.250 0.673 Ga
0.927 0.750 0.498 Ga
0.965 0.250 0.175 Ga
0.039 0.750 0.243 Ni
0.218 0.250 0.532 Ni
0.282 0.750 0.032 Ni
0.461 0.250 0.743 Ni
0.539 0.750 0.257 Ni
0.718 0.250 0.968 Ni
0.782 0.750 0.468 Ni
0.961 0.250 0.757 Ni
```

Summary:
* space-group type: Pnma, No. 62
* spin magnetization: 14.57 Bohr magnetons per cell


DFT (PBE) results for crystalline NpGa4Ni15 at its relaxed geometry.

Cell and atoms, written as POSCAR:
```
NpGa4Ni15
1.0
3.656 0.000 0.000
0.000 3.656 0.000
0.000 0.000 17.909
Np Ga Ni
1 4 15
Direct
0.000 0.000 0.000 Np
0.000 0.000 0.210 Ga
0.000 0.000 0.403 Ga
0.000 0.000 0.597 Ga
0.000 0.000 0.790 Ga
0.000 0.500 0.107 Ni
0.000 0.500 0.305 Ni
0.000 0.500 0.500 Ni
0.000 0.500 0.695 Ni
0.000 0.500 0.893 Ni
0.500 0.000 0.107 Ni
0.500 0.000 0.305 Ni
0.500 0.000 0.500 Ni
0.500 0.000 0.695 Ni
0.500 0.000 0.893 Ni
0.500 0.500 0.000 Ni
0.500 0.500 0.207 Ni
0.500 0.500 0.403 Ni
0.500 0.500 0.597 Ni
0.500 0.500 0.793 Ni
```

Summary:
* space-group type: P4/mmm, No. 123
* spin magnetization: 3.26 Bohr magnetons per cell


DFT (PBE) results for crystalline Np2Ga8Ni at its relaxed geometry.

Cell and atoms, written as POSCAR:
```
Np2Ga8Ni
1.0
4.247 0.000 0.000
0.000 4.247 0.000
0.000 0.000 11.153
Np Ga Ni
2 8 1
Direct
0.000 0.000 0.194 Np
0.000 0.000 0.806 Np
0.000 0.500 0.000 Ga
0.000 0.500 0.380 Ga
0.000 0.500 0.620 Ga
0.500 0.000 0.000 Ga
0.500 0.000 0.380 Ga
0.500 0.000 0.620 Ga
0.500 0.500 0.193 Ga
0.500 0.500 0.807 Ga
0.000 0.000 0.500 Ni
```

Summary:
* space-group type: P4/mmm, No. 123
* spin magnetization: 7.52 Bohr magnetons per cell


DFT (PBE) results for crystalline NpGa2Ni9 at its relaxed geometry.

Cell and atoms, written as POSCAR:
```
NpGa2Ni9
1.0
2.412 1.392 7.690
-2.412 1.392 7.690
0.000 -2.785 7.690
Np Ga Ni
1 2 9
Direct
0.000 0.000 0.000 Np
0.142 0.142 0.142 Ga
0.858 0.858 0.858 Ga
0.082 0.589 0.589 Ni
0.334 0.334 0.334 Ni
0.411 0.411 0.918 Ni
0.411 0.918 0.411 Ni
0.500 0.500 0.500 Ni
0.589 0.082 0.589 Ni
0.589 0.589 0.082 Ni
0.666 0.666 0.666 Ni
0.918 0.411 0.411 Ni
```

Summary:
* space-group type: R-3m, No. 166
* spin magnetization: 1.19 Bohr magnetons per cell


DFT (PBE) results for crystalline NpGa2Ni at its relaxed geometry.

Cell and atoms, written as POSCAR:
```
NpGa2Ni
1.0
1.417 0.818 9.178
-1.417 0.818 9.178
0.000 -1.636 9.178
Np Ga Ni
1 2 1
Direct
0.000 0.000 0.000 Np
0.236 0.236 0.236 Ga
0.764 0.764 0.764 Ga
0.500 0.500 0.500 Ni
```

Summary:
* space-group type: R-3m, No. 166
* spin magnetization: 2.57 Bohr magnetons per cell


DFT (PBE) results for crystalline NpGa3Ni at its relaxed geometry.

Cell and atoms, written as POSCAR:
```
NpGa3Ni
1.0
7.936 0.000 0.000
0.000 3.650 0.000
0.000 0.000 11.220
Np Ga Ni
4 12 4
Direct
0.102 0.250 0.000 Np
0.398 0.750 0.500 Np
0.602 0.250 0.500 Np
0.898 0.750 0.000 Np
0.078 0.250 0.424 Ga
0.112 0.750 0.225 Ga
0.142 0.750 0.781 Ga
0.358 0.250 0.281 Ga
0.388 0.250 0.725 Ga
0.422 0.750 0.924 Ga
0.578 0.250 0.076 Ga
0.612 0.750 0.275 Ga
0.642 0.750 0.719 Ga
0.858 0.250 0.219 Ga
0.888 0.250 0.775 Ga
0.922 0.750 0.576 Ga
0.119 0.250 0.636 Ni
0.381 0.750 0.136 Ni
0.619 0.250 0.864 Ni
0.881 0.750 0.364 Ni
```

Summary:
* space-group type: Pnma, No. 62
* energy above the most stable polymorph in this dataset: 0.0000 eV per atom
* spin magnetization: 0.01 Bohr magnetons per cell


DFT (PBE) results for crystalline NpGa2Ni at its relaxed geometry.

Cell and atoms, written as POSCAR:
```
NpGa2Ni
1.0
2.693 0.000 0.000
0.000 2.693 0.000
0.000 0.000 8.150
Np Ga Ni
1 2 1
Direct
0.000 0.000 0.000 Np
0.500 0.500 0.294 Ga
0.500 0.500 0.706 Ga
0.000 0.000 0.500 Ni
```

Summary:
* space-group type: P4/mmm, No. 123
* spin magnetization: 0.00 Bohr magnetons per cell


DFT (PBE) results for crystalline NpGa3Ni at its relaxed geometry.

Cell and atoms, written as POSCAR:
```
NpGa3Ni
1.0
-2.086 2.086 5.112
2.086 -2.086 5.112
2.086 2.086 -5.112
Np Ga Ni
1 3 1
Direct
0.000 0.000 0.000 Np
0.252 0.752 0.500 Ga
0.415 0.415 0.000 Ga
0.752 0.252 0.500 Ga
0.640 0.640 0.000 Ni
```

Summary:
* space-group type: I4mm, No. 107
* energy above the most stable polymorph in this dataset: 0.0108 eV per atom
* spin magnetization: 3.81 Bohr magnetons per cell


DFT (PBE) results for crystalline Np4Ga16Ni3 at its relaxed geometry.

Cell and atoms, written as POSCAR:
```
Np4Ga16Ni3
1.0
6.082 0.000 0.000
0.000 6.082 0.000
0.000 0.000 11.057
Np Ga Ni
4 16 3
Direct
0.000 0.500 0.192 Np
0.000 0.500 0.808 Np
0.500 0.000 0.192 Np
0.500 0.000 0.808 Np
0.000 0.000 0.200 Ga
0.000 0.000 0.800 Ga
0.219 0.219 0.000 Ga
0.219 0.781 0.000 Ga
0.247 0.247 0.380 Ga
0.247 0.247 0.620 Ga
0.247 0.753 0.380 Ga
0.247 0.753 0.620 Ga
0.500 0.500 0.222 Ga
0.500 0.500 0.778 Ga
0.753 0.247 0.380 Ga
0.753 0.247 0.620 Ga
0.753 0.753 0.380 Ga
0.753 0.753 0.620 Ga
0.781 0.219 0.000 Ga
0.781 0.781 0.000 Ga
0.000 0.500 0.500 Ni
0.500 0.000 0.500 Ni
0.500 0.500 0.000 Ni
```

Summary:
* space-group type: P4/mmm, No. 123
* spin magnetization: 16.04 Bohr magnetons per cell


DFT (PBE) results for crystalline NpGa12Ni4 at its relaxed geometry.

Cell and atoms, written as POSCAR:
```
NpGa12Ni4
1.0
-4.255 4.255 4.255
4.255 -4.255 4.255
4.255 4.255 -4.255
Np Ga Ni
1 12 4
Direct
0.000 0.000 0.000 Np
0.166 0.336 0.502 Ga
0.166 0.664 0.829 Ga
0.171 0.834 0.336 Ga
0.336 0.171 0.834 Ga
0.336 0.502 0.166 Ga
0.498 0.834 0.664 Ga
0.502 0.166 0.336 Ga
0.664 0.498 0.834 Ga
0.664 0.829 0.166 Ga
0.829 0.166 0.664 Ga
0.834 0.336 0.171 Ga
0.834 0.664 0.498 Ga
0.000 0.000 0.500 Ni
0.000 0.500 0.000 Ni
0.500 0.000 0.000 Ni
0.500 0.500 0.500 Ni
```

Summary:
* space-group type: Im-3, No. 204
* spin magnetization: 4.72 Bohr magnetons per cell


DFT (PBE) results for crystalline NpGa6Ni6 at its relaxed geometry.

Cell and atoms, written as POSCAR:
```
NpGa6Ni6
1.0
-2.505 4.170 4.342
2.505 -4.170 4.342
2.505 4.170 -4.342
Np Ga Ni
1 6 6
Direct
0.000 0.000 0.000 Np
0.186 0.686 0.500 Ga
0.344 0.000 0.344 Ga
0.345 0.345 0.000 Ga
0.655 0.655 0.000 Ga
0.656 0.000 0.656 Ga
0.814 0.314 0.500 Ga
0.000 0.000 0.500 Ni
0.000 0.500 0.000 Ni
0.238 0.500 0.738 Ni
0.500 0.000 0.000 Ni
0.500 0.500 0.500 Ni
0.762 0.500 0.262 Ni
```

Summary:
* space-group type: Immm, No. 71
* spin magnetization: 4.10 Bohr magnetons per cell


DFT (PBE) results for crystalline NpGa12Ni6 at its relaxed geometry.

Cell and atoms, written as POSCAR:
```
NpGa12Ni6
1.0
5.490 3.170 2.806
-5.490 3.170 2.806
0.000 -6.339 2.806
Np Ga Ni
1 12 6
Direct
0.000 0.000 0.000 Np
0.115 0.500 0.885 Ga
0.115 0.885 0.500 Ga
0.148 0.404 0.404 Ga
0.404 0.148 0.404 Ga
0.404 0.404 0.148 Ga
0.500 0.115 0.885 Ga
0.500 0.885 0.115 Ga
0.596 0.596 0.852 Ga
0.596 0.852 0.596 Ga
0.852 0.596 0.596 Ga
0.885 0.115 0.500 Ga
0.885 0.500 0.115 Ga
0.283 0.283 0.705 Ni
0.283 0.705 0.283 Ni
0.295 0.717 0.717 Ni
0.705 0.283 0.283 Ni
0.717 0.295 0.717 Ni
0.717 0.717 0.295 Ni
```

Summary:
* space-group type: R-3m, No. 166
* spin magnetization: 4.48 Bohr magnetons per cell


DFT (PBE) results for crystalline NpGa2Ni7P2 at its relaxed geometry.

Cell and atoms, written as POSCAR:
```
NpGa2Ni7P2
1.0
2.639 -2.600 0.000
2.639 2.600 0.000
-2.531 0.000 12.240
Np Ga Ni P
1 2 7 2
Direct
0.000 0.000 0.000 Np
0.108 0.108 0.403 Ga
0.892 0.892 0.597 Ga
0.043 0.544 0.267 Ni
0.381 0.381 0.583 Ni
0.456 0.957 0.733 Ni
0.500 0.500 0.000 Ni
0.544 0.043 0.267 Ni
0.619 0.619 0.417 Ni
0.957 0.456 0.733 Ni
0.498 0.498 0.171 P
0.502 0.502 0.829 P
```

Summary:
* space-group type: C2/m, No. 12
* spin magnetization: 3.84 Bohr magnetons per cell


DFT (PBE) results for crystalline NpGaNi4P2 at its relaxed geometry.

Cell and atoms, written as POSCAR:
```
NpGaNi4P2
1.0
3.803 0.000 0.000
0.000 3.803 0.000
0.000 0.000 7.735
Np Ga Ni P
1 1 4 2
Direct
0.000 0.000 0.000 Np
0.000 0.000 0.500 Ga
0.000 0.500 0.310 Ni
0.000 0.500 0.690 Ni
0.500 0.000 0.310 Ni
0.500 0.000 0.690 Ni
0.500 0.500 0.153 P
0.500 0.500 0.847 P
```

Summary:
* space-group type: P4/mmm, No. 123
* spin magnetization: 4.08 Bohr magnetons per cell


DFT (PBE) results for crystalline NpGa4NiPd2 at its relaxed geometry.

Cell and atoms, written as POSCAR:
```
NpGa4NiPd2
1.0
2.129 1.229 8.617
-2.129 1.229 8.617
0.000 -2.459 8.617
Np Ga Ni Pd
1 4 1 2
Direct
0.000 0.000 0.000 Np
0.133 0.133 0.133 Ga
0.400 0.400 0.400 Ga
0.600 0.600 0.600 Ga
0.867 0.867 0.867 Ga
0.500 0.500 0.500 Ni
0.235 0.235 0.235 Pd
0.765 0.765 0.765 Pd
```

Summary:
* space-group type: R-3m, No. 166
* spin magnetization: 4.25 Bohr magnetons per cell


DFT (PBE) results for crystalline NpGa4NiPt2 at its relaxed geometry.

Cell and atoms, written as POSCAR:
```
NpGa4NiPt2
1.0
2.134 1.232 8.566
-2.134 1.232 8.566
0.000 -2.464 8.566
Np Ga Ni Pt
1 4 1 2
Direct
0.000 0.000 0.000 Np
0.133 0.133 0.133 Ga
0.399 0.399 0.399 Ga
0.601 0.601 0.601 Ga
0.867 0.867 0.867 Ga
0.500 0.500 0.500 Ni
0.237 0.237 0.237 Pt
0.763 0.763 0.763 Pt
```

Summary:
* space-group type: R-3m, No. 166
* spin magnetization: 4.15 Bohr magnetons per cell


DFT (PBE) results for crystalline PuNpGaNi at its relaxed geometry.

Cell and atoms, written as POSCAR:
```
PuNpGaNi
1.0
0.000 3.337 3.337
3.337 0.000 3.337
3.337 3.337 0.000
Pu Np Ga Ni
1 1 1 1
Direct
0.000 0.000 0.000 Pu
0.250 0.250 0.250 Np
0.750 0.750 0.750 Ga
0.500 0.500 0.500 Ni
```

Summary:
* space-group type: F-43m, No. 216
* spin magnetization: 10.00 Bohr magnetons per cell


Sequential formation energy from the elements output: -190 -263 -136 -309 -234 -270 -148 -113 -260 -184 -249 -295 -65 -343 -257 -325 -500 -363 -431 -49 meV per atom